[1]
Below is a relaxed structure of Ba3Li2ReO6, with properties calculated at the GGA-PBE level.

a b c (Å): 5.868 5.868 6.974
angles (deg): 90.00 90.00 120.00
Positions (direct):
1 Ba 0.000 0.000 0.000
2 Ba 0.333 0.667 0.642
3 Ba 0.667 0.333 0.358
4 Li 0.333 0.667 0.229
5 Li 0.667 0.333 0.771
6 Re 0.000 0.000 0.500
7 O 0.159 0.319 0.332
8 O 0.159 0.841 0.332
9 O 0.319 0.159 0.668
10 O 0.681 0.841 0.332
11 O 0.841 0.159 0.668
12 O 0.841 0.681 0.668

mass density: 5654 kg/m³
total magnetic moment: 1.58 Bohr magnetons per cell
raw formation energy: -2.061 eV per atom
density of states at the Fermi level: 5.81 states/eV/cell
space-group type: No. 164

***

[2]
Below is a relaxed structure of BaLi2Re2O7, with properties calculated at the GGA-PBE level.

a b c (Å): 9.692 9.692 9.692
angles (deg): 156.67 156.67 33.23
Positions (direct):
1 Ba 0.000 0.000 0.000
2 Li 0.250 0.750 0.500
3 Li 0.750 0.250 0.500
4 Re 0.385 0.385 0.000
5 Re 0.615 0.615 0.000
6 O 0.112 0.612 0.500
7 O 0.282 0.282 0.000
8 O 0.388 0.888 0.500
9 O 0.500 0.500 0.000
10 O 0.612 0.112 0.500
11 O 0.718 0.718 0.000
12 O 0.888 0.388 0.500

mass density: 7398 kg/m³
total magnetic moment: 0.00 Bohr magnetons per cell
raw formation energy: -1.900 eV per atom
density of states at the Fermi level: 5.42 states/eV/cell
space-group type: No. 139

***

[3]
Below is a relaxed structure of Ba4LiRh4O12, with properties calculated at the GGA-PBE level.

a b c (Å): 5.774 5.774 10.476
angles (deg): 90.00 90.00 120.00
Positions (direct):
1 Ba 0.000 0.000 0.000
2 Ba 0.000 0.000 0.494
3 Ba 0.333 0.667 0.774
4 Ba 0.667 0.333 0.228
5 Li 0.333 0.667 0.540
6 Rh 0.333 0.667 0.075
7 Rh 0.333 0.667 0.331
8 Rh 0.667 0.333 0.577
9 Rh 0.667 0.333 0.845
10 O 0.007 0.504 0.462
11 O 0.183 0.365 0.203
12 O 0.183 0.817 0.203
13 O 0.372 0.186 0.711
14 O 0.496 0.504 0.462
15 O 0.496 0.993 0.462
16 O 0.502 0.004 0.964
17 O 0.502 0.498 0.964
18 O 0.635 0.817 0.203
19 O 0.814 0.186 0.711
20 O 0.814 0.628 0.711
21 O 0.996 0.498 0.964

mass density: 6369 kg/m³
relative energy among the computed polymorphs: 65 meV/atom
total magnetic moment: 2.74 Bohr magnetons per cell
raw formation energy: -1.511 eV per atom
density of states at the Fermi level: 15.30 states/eV/cell
space-group type: No. 156

***

[4]
Below is a relaxed structure of Ba4LiRh4O12, with properties calculated at the GGA-PBE level.

a b c (Å): 5.914 5.914 9.986
angles (deg): 93.93 93.93 58.14
Positions (direct):
1 Ba 0.000 0.000 0.000
2 Ba 0.063 0.063 0.439
3 Ba 0.362 0.362 0.236
4 Ba 0.648 0.648 0.759
5 Li 0.883 0.883 0.636
6 Rh 0.331 0.331 0.872
7 Rh 0.365 0.365 0.598
8 Rh 0.677 0.677 0.098
9 Rh 0.710 0.710 0.374
10 O 0.061 0.603 0.475
11 O 0.181 0.652 0.753
12 O 0.204 0.204 0.700
13 O 0.392 0.850 0.238
14 O 0.468 0.985 0.972
15 O 0.484 0.484 0.015
16 O 0.565 0.565 0.506
17 O 0.603 0.061 0.475
18 O 0.652 0.181 0.753
19 O 0.841 0.841 0.222
20 O 0.850 0.392 0.238
21 O 0.985 0.468 0.972

mass density: 6512 kg/m³
relative energy among the computed polymorphs: 0 meV/atom
total magnetic moment: 3.09 Bohr magnetons per cell
raw formation energy: -1.576 eV per atom
density of states at the Fermi level: 12.64 states/eV/cell
space-group type: No. 8

***

[5]
Below is a relaxed structure of BaLiRhO4, with properties calculated at the GGA-PBE level.

a b c (Å): 5.871 5.871 7.067
angles (deg): 90.00 90.00 90.00
Positions (direct):
1 Ba 0.000 0.000 0.000
2 Ba 0.500 0.500 0.500
3 Li 0.000 0.000 0.500
4 Li 0.500 0.500 0.000
5 Rh 0.000 0.500 0.250
6 Rh 0.500 0.000 0.750
7 O 0.150 0.237 0.333
8 O 0.237 0.850 0.667
9 O 0.263 0.650 0.167
10 O 0.350 0.263 0.833
11 O 0.650 0.737 0.833
12 O 0.737 0.350 0.167
13 O 0.763 0.150 0.667
14 O 0.850 0.763 0.333

mass density: 4242 kg/m³
total magnetic moment: 4.06 Bohr magnetons per cell
raw formation energy: -1.366 eV per atom
density of states at the Fermi level: 8.75 states/eV/cell
space-group type: No. 82

***

[6]
Below is a relaxed structure of Ba4LiRh4O12, with properties calculated at the GGA-PBE level.

a b c (Å): 5.899 5.899 10.006
angles (deg): 92.48 92.48 58.79
Positions (direct):
1 Ba 0.000 0.000 0.000
2 Ba 0.055 0.055 0.462
3 Ba 0.361 0.361 0.246
4 Ba 0.745 0.745 0.694
5 Li 0.560 0.560 0.864
6 Rh 0.325 0.325 0.869
7 Rh 0.385 0.385 0.598
8 Rh 0.672 0.672 0.092
9 Rh 0.712 0.712 0.366
10 O 0.069 0.588 0.468
11 O 0.218 0.218 0.691
12 O 0.224 0.653 0.758
13 O 0.394 0.848 0.239
14 O 0.470 0.470 0.023
15 O 0.474 0.945 0.942
16 O 0.567 0.567 0.502
17 O 0.588 0.069 0.468
18 O 0.653 0.224 0.758
19 O 0.837 0.837 0.210
20 O 0.848 0.394 0.239
21 O 0.945 0.474 0.942

mass density: 6476 kg/m³
relative energy among the computed polymorphs: 1 meV/atom
total magnetic moment: 2.94 Bohr magnetons per cell
raw formation energy: -1.575 eV per atom
density of states at the Fermi level: 12.71 states/eV/cell
space-group type: No. 8

***

[7]
Below is a relaxed structure of Ba3LiRh2O6, with properties calculated at the GGA-PBE level.

a b c (Å): 6.038 6.038 6.875
angles (deg): 90.00 90.00 120.00
Positions (direct):
1 Ba 0.000 0.000 0.000
2 Ba 0.333 0.667 0.652
3 Ba 0.667 0.333 0.348
4 Li 0.000 0.000 0.500
5 Rh 0.333 0.667 0.194
6 Rh 0.667 0.333 0.806
7 O 0.165 0.330 0.301
8 O 0.165 0.835 0.301
9 O 0.330 0.165 0.699
10 O 0.670 0.835 0.301
11 O 0.835 0.165 0.699
12 O 0.835 0.670 0.699

mass density: 5513 kg/m³
total magnetic moment: 0.00 Bohr magnetons per cell
raw formation energy: -1.504 eV per atom
density of states at the Fermi level: 6.04 states/eV/cell
space-group type: No. 164

***

[8]
Below is a relaxed structure of Ba3LiRh2O9, with properties calculated at the GGA-PBE level.

a b c (Å): 5.785 5.785 7.124
angles (deg): 90.00 90.00 120.00
Positions (direct):
1 Ba 0.000 0.000 0.000
2 Ba 0.333 0.667 0.662
3 Ba 0.667 0.333 0.338
4 Li 0.000 0.000 0.500
5 Rh 0.333 0.667 0.171
6 Rh 0.667 0.333 0.829
7 O 0.000 0.500 0.000
8 O 0.175 0.350 0.321
9 O 0.175 0.825 0.321
10 O 0.350 0.175 0.679
11 O 0.500 0.000 0.000
12 O 0.500 0.500 0.000
13 O 0.650 0.825 0.321
14 O 0.825 0.175 0.679
15 O 0.825 0.650 0.679

mass density: 6182 kg/m³
total magnetic moment: 5.09 Bohr magnetons per cell
raw formation energy: -1.652 eV per atom
density of states at the Fermi level: 6.02 states/eV/cell
space-group type: No. 164

***

[9]
Below is a relaxed structure of Ba4LiRh3O12, with properties calculated at the GGA-PBE level.

a b c (Å): 7.104 7.104 7.104
angles (deg): 109.47 109.47 109.47
Positions (direct):
1 Ba 0.000 0.000 0.500
2 Ba 0.000 0.500 0.000
3 Ba 0.500 0.000 0.000
4 Ba 0.500 0.500 0.500
5 Li 0.000 0.000 0.000
6 Rh 0.000 0.500 0.500
7 Rh 0.500 0.000 0.500
8 Rh 0.500 0.500 0.000
9 O 0.000 0.265 0.265
10 O 0.000 0.735 0.735
11 O 0.250 0.500 0.750
12 O 0.250 0.750 0.500
13 O 0.265 0.000 0.265
14 O 0.265 0.265 0.000
15 O 0.500 0.250 0.750
16 O 0.500 0.750 0.250
17 O 0.735 0.000 0.735
18 O 0.735 0.735 0.000
19 O 0.750 0.250 0.500
20 O 0.750 0.500 0.250

mass density: 6359 kg/m³
total magnetic moment: 7.22 Bohr magnetons per cell
raw formation energy: -1.590 eV per atom
density of states at the Fermi level: 12.97 states/eV/cell
space-group type: No. 229

***

[10]
Below is a relaxed structure of Ba4LiRh4O12, with properties calculated at the GGA-PBE level.

a b c (Å): 5.809 5.809 10.060
angles (deg): 90.00 90.00 120.00
Positions (direct):
1 Ba 0.000 0.000 0.000
2 Ba 0.333 0.667 0.295
3 Ba 0.333 0.667 0.705
4 Ba 0.667 0.333 0.500
5 Li 0.333 0.667 0.000
6 Rh 0.000 0.000 0.363
7 Rh 0.000 0.000 0.637
8 Rh 0.667 0.333 0.137
9 Rh 0.667 0.333 0.863
10 O 0.151 0.302 0.500
11 O 0.151 0.849 0.500
12 O 0.342 0.171 0.257
13 O 0.342 0.171 0.743
14 O 0.515 0.030 0.000
15 O 0.515 0.485 0.000
16 O 0.698 0.849 0.500
17 O 0.829 0.171 0.257
18 O 0.829 0.171 0.743
19 O 0.829 0.658 0.257
20 O 0.829 0.658 0.743
21 O 0.970 0.485 0.000

mass density: 6552 kg/m³
relative energy among the computed polymorphs: 5 meV/atom
total magnetic moment: 2.75 Bohr magnetons per cell
raw formation energy: -1.571 eV per atom
density of states at the Fermi level: 15.65 states/eV/cell
space-group type: No. 187

***

[11]
Below is a relaxed structure of Ba2Li3RhO6, with properties calculated at the GGA-PBE level.

a b c (Å): 6.629 6.629 5.167
angles (deg): 99.32 99.32 126.86
Positions (direct):
1 Ba 0.172 0.828 0.000
2 Ba 0.828 0.172 0.000
3 Li 0.000 0.000 0.500
4 Li 0.405 0.595 0.500
5 Li 0.595 0.405 0.500
6 Rh 0.500 0.500 0.000
7 O 0.178 0.421 0.737
8 O 0.276 0.276 0.217
9 O 0.421 0.178 0.737
10 O 0.579 0.822 0.263
11 O 0.724 0.724 0.783
12 O 0.822 0.579 0.263

mass density: 4847 kg/m³
total magnetic moment: 2.01 Bohr magnetons per cell
raw formation energy: -1.707 eV per atom
density of states at the Fermi level: 5.49 states/eV/cell
space-group type: No. 12

***

[12]
Below is a relaxed structure of Ba2LiRhO, with properties calculated at the GGA-PBE level.

a b c (Å): 5.472 5.472 3.920
angles (deg): 90.00 90.00 90.00
Positions (direct):
1 Ba 0.000 0.500 0.000
2 Ba 0.500 0.000 0.000
3 Li 0.000 0.000 0.500
4 Rh 0.500 0.500 0.500
5 O 0.000 0.000 0.000

mass density: 5666 kg/m³
total magnetic moment: 0.15 Bohr magnetons per cell
raw formation energy: -0.990 eV per atom
density of states at the Fermi level: 2.12 states/eV/cell
space-group type: No. 123

***

[13]
Below is a relaxed structure of Ba2LiRuO4, with properties calculated at the GGA-PBE level.

a b c (Å): 11.299 9.786 6.577
angles (deg): 84.93 59.63 35.44
Positions (direct):
1 Ba 0.050 0.050 0.700
2 Ba 0.300 0.300 0.950
3 Ba 0.700 0.700 0.050
4 Ba 0.950 0.950 0.300
5 Li 0.375 0.375 0.375
6 Li 0.625 0.625 0.625
7 Ru 0.125 0.125 0.125
8 Ru 0.875 0.875 0.875
9 O 0.063 0.270 0.422
10 O 0.256 0.578 0.730
11 O 0.270 0.063 0.744
12 O 0.422 0.744 0.063
13 O 0.578 0.256 0.937
14 O 0.730 0.937 0.256
15 O 0.744 0.422 0.270
16 O 0.937 0.730 0.578

mass density: 5346 kg/m³
total magnetic moment: 2.06 Bohr magnetons per cell
raw formation energy: -1.653 eV per atom
density of states at the Fermi level: 9.32 states/eV/cell
space-group type: No. 70

***

[14]
Below is a relaxed structure of Ba2LiRuO6, with properties calculated at the GGA-PBE level.

a b c (Å): 10.051 10.051 10.051
angles (deg): 33.47 33.47 33.47
Positions (direct):
1 Ba 0.126 0.126 0.126
2 Ba 0.286 0.286 0.286
3 Ba 0.714 0.714 0.714
4 Ba 0.874 0.874 0.874
5 Li 0.405 0.405 0.405
6 Li 0.595 0.595 0.595
7 Ru 0.000 0.000 0.000
8 Ru 0.500 0.500 0.500
9 O 0.150 0.616 0.616
10 O 0.196 0.196 0.725
11 O 0.196 0.725 0.196
12 O 0.275 0.804 0.804
13 O 0.384 0.384 0.850
14 O 0.384 0.850 0.384
15 O 0.616 0.150 0.616
16 O 0.616 0.616 0.150
17 O 0.725 0.196 0.196
18 O 0.804 0.275 0.804
19 O 0.804 0.804 0.275
20 O 0.850 0.384 0.384

mass density: 5779 kg/m³
total magnetic moment: 1.86 Bohr magnetons per cell
raw formation energy: -1.848 eV per atom
density of states at the Fermi level: 8.40 states/eV/cell
space-group type: No. 166

***

[15]
Below is a relaxed structure of Ba3Li2RuO6, with properties calculated at the GGA-PBE level.

a b c (Å): 5.903 5.903 6.683
angles (deg): 90.00 90.00 120.00
Positions (direct):
1 Ba 0.000 0.000 0.000
2 Ba 0.333 0.667 0.641
3 Ba 0.667 0.333 0.359
4 Li 0.333 0.667 0.230
5 Li 0.667 0.333 0.770
6 Ru 0.000 0.000 0.500
7 O 0.162 0.325 0.320
8 O 0.162 0.838 0.320
9 O 0.325 0.162 0.680
10 O 0.675 0.838 0.320
11 O 0.838 0.162 0.680
12 O 0.838 0.675 0.680

mass density: 5129 kg/m³
total magnetic moment: 2.00 Bohr magnetons per cell
raw formation energy: -1.940 eV per atom
density of states at the Fermi level: 4.25 states/eV/cell
space-group type: No. 164

***

[16]
Below is a relaxed structure of Ba3LiRu2O9, with properties calculated at the GGA-PBE level.

a b c (Å): 5.757 5.757 7.081
angles (deg): 90.00 90.00 120.00
Positions (direct):
1 Ba 0.000 0.000 0.000
2 Ba 0.333 0.667 0.658
3 Ba 0.667 0.333 0.342
4 Li 0.000 0.000 0.500
5 Ru 0.333 0.667 0.166
6 Ru 0.667 0.333 0.834
7 O 0.000 0.500 0.000
8 O 0.176 0.352 0.319
9 O 0.176 0.824 0.319
10 O 0.352 0.176 0.681
11 O 0.500 0.000 0.000
12 O 0.500 0.500 0.000
13 O 0.648 0.824 0.319
14 O 0.824 0.176 0.681
15 O 0.824 0.648 0.681

mass density: 6251 kg/m³
relative energy among the computed polymorphs: 17 meV/atom
total magnetic moment: 0.90 Bohr magnetons per cell
raw formation energy: -1.859 eV per atom
density of states at the Fermi level: 9.08 states/eV/cell
space-group type: No. 164

***

[17]
Below is a relaxed structure of BaLiRu2O8, with properties calculated at the GGA-PBE level.

a b c (Å): 5.343 5.343 7.863
angles (deg): 93.22 93.22 66.94
Positions (direct):
1 Ba 0.000 0.000 0.000
2 Li 0.000 0.000 0.500
3 Ru 0.371 0.371 0.714
4 Ru 0.629 0.629 0.286
5 O 0.229 0.229 0.551
6 O 0.233 0.733 0.706
7 O 0.267 0.767 0.294
8 O 0.301 0.301 0.922
9 O 0.699 0.699 0.078
10 O 0.733 0.233 0.706
11 O 0.767 0.267 0.294
12 O 0.771 0.771 0.449

mass density: 3823 kg/m³
total magnetic moment: 3.01 Bohr magnetons per cell
raw formation energy: -1.316 eV per atom
density of states at the Fermi level: 9.19 states/eV/cell
space-group type: No. 12

***

[18]
Below is a relaxed structure of Ba2Li2RuO6, with properties calculated at the GGA-PBE level.

a b c (Å): 6.133 6.133 6.133
angles (deg): 56.76 56.76 56.76
Positions (direct):
1 Ba 0.232 0.232 0.232
2 Ba 0.768 0.768 0.768
3 Li 0.425 0.425 0.425
4 Li 0.575 0.575 0.575
5 Ru 0.000 0.000 0.000
6 O 0.230 0.230 0.765
7 O 0.230 0.765 0.230
8 O 0.235 0.770 0.770
9 O 0.765 0.230 0.230
10 O 0.770 0.235 0.770
11 O 0.770 0.770 0.235

mass density: 5345 kg/m³
total magnetic moment: 2.01 Bohr magnetons per cell
raw formation energy: -1.854 eV per atom
density of states at the Fermi level: 5.76 states/eV/cell
space-group type: No. 166

***

no.,energy (Ry/atom)
1,-0.469
2,-0.540
3,-0.456
4,-0.461
5,-0.426
6,-0.461
7,-0.430
8,-0.450
9,-0.452
10,-0.460
11,-0.411
12,-0.338
13,-0.442
14,-0.465
15,-0.440
16,-0.484
17,-0.477
18,-0.448